[1]
DFT (PBE) results for PaFeNi after structural relaxation.

Output
Calculated formation energy (eV per atom): 0.4091
Space group: No. 216
Total magnetic moment (μB/f.u.): 0.01

The structure in POSCAR format:
```
PaFeNi
1.0
0.0000 2.9878 2.9878
2.9878 0.0000 2.9878
2.9878 2.9878 0.0000
Pa Ni Fe
1 1 1
Cartesian
0.0000 0.0000 0.0000
4.4817 4.4817 4.4817
1.4939 1.4939 1.4939
```



[2]
DFT (PBE) results for FeReNiPb after structural relaxation.

Output
Energy above the most stable polymorph in this dataset (meV/atom): 0
Space group: No. 216
Total magnetic moment (μB/f.u.): 2.84

The structure in POSCAR format:
```
FeReNiPb
1.0
-3.7560 -2.1707 0.6236
-3.2111 1.8124 2.3690
-3.6718 1.3639 -1.9663
Re Fe Pb Ni
1 1 1 1
Cartesian
-5.3195 0.5028 0.5132
-7.9792 0.7543 0.7698
0.0000 0.0000 0.0000
-2.6597 0.2514 0.2566
```



[3]
DFT (PBE) results for FeNiPbSe3 after structural relaxation.

Output
Energy above the most stable polymorph in this dataset (meV/atom): 21
Space group: No. 63
Total magnetic moment (μB/f.u.): 2.87

The structure in POSCAR format:
```
FeNiPbSe3
1.0
6.9536 -1.8817 0.0000
6.9536 1.8817 0.0000
0.0000 0.0000 9.4558
Se Ni Fe Pb
6 2 2 2
Cartesian
8.6868 0.0000 5.1152
5.2204 0.0000 0.3873
5.2204 0.0000 4.3406
1.0008 0.0000 2.3640
12.9063 0.0000 7.0919
8.6868 0.0000 9.0686
0.0000 0.0000 0.0000
0.0000 0.0000 4.7279
6.5096 0.0000 2.3640
7.3976 0.0000 7.0919
3.2266 0.0000 7.0919
10.6806 0.0000 2.3640
```



[4]
DFT (PBE) results for FeNiPbSe3 after structural relaxation.

Output
Energy above the most stable polymorph in this dataset (meV/atom): 0
Space group: No. 63
Total magnetic moment (μB/f.u.): 2.43

The structure in POSCAR format:
```
FeNiPbSe3
1.0
-3.2308 -2.6067 -5.6233
-5.2411 -3.7198 -2.7474
-5.3846 8.0619 -0.6435
Se Ni Fe Pb
6 2 2 2
Cartesian
-11.9758 0.1190 -8.3252
-1.8806 1.6164 -0.6890
-5.6842 1.3943 -3.4337
-8.1722 0.3411 -5.5805
-3.3505 -2.0997 -3.1548
-10.5059 3.8351 -5.8594
-5.1937 -0.8578 -3.9625
-8.6627 2.5932 -5.0516
-2.6923 4.0310 -0.3217
0.0000 0.0000 0.0000
-5.9827 4.5945 -2.4036
-7.8738 -2.8592 -6.6105
```



[5]
DFT (PBE) results for TaFeNiPb after structural relaxation.

Output
Energy above the most stable polymorph in this dataset (meV/atom): 0
Space group: No. 216
Total magnetic moment (μB/f.u.): 1.45

The structure in POSCAR format:
```
TaFeNiPb
1.0
0.0000 3.1422 3.1422
3.1422 0.0000 3.1422
3.1422 3.1422 0.0000
Ta Fe Ni Pb
1 1 1 1
Cartesian
3.1422 3.1422 3.1422
4.7133 4.7133 4.7133
1.5711 1.5711 1.5711
0.0000 0.0000 0.0000
```



[6]
DFT (PBE) results for TaFeNiPb after structural relaxation.

Output
Energy above the most stable polymorph in this dataset (meV/atom): 244
Space group: No. 216
Total magnetic moment (μB/f.u.): 1.99

The structure in POSCAR format:
```
TaFeNiPb
1.0
0.0000 3.1919 3.1919
3.1919 0.0000 3.1919
3.1919 3.1919 0.0000
Fe Pb Ni Ta
1 1 1 1
Cartesian
3.1919 3.1919 3.1919
0.0000 0.0000 0.0000
4.7878 4.7878 4.7878
1.5959 1.5959 1.5959
```



[7]
DFT (PBE) results for TaFeNiPb after structural relaxation.

Output
Energy above the most stable polymorph in this dataset (meV/atom): 292
Space group: No. 216
Total magnetic moment (μB/f.u.): 1.90

The structure in POSCAR format:
```
TaFeNiPb
1.0
0.0000 3.1864 3.1864
3.1864 0.0000 3.1864
3.1864 3.1864 0.0000
Ta Pb Fe Ni
1 1 1 1
Cartesian
1.5932 1.5932 1.5932
0.0000 0.0000 0.0000
4.7796 4.7796 4.7796
3.1864 3.1864 3.1864
```



[8]
DFT (PBE) results for FeTcNiPb after structural relaxation.

Output
Energy above the most stable polymorph in this dataset (meV/atom): 0
Space group: No. 216
Total magnetic moment (μB/f.u.): 4.07

The structure in POSCAR format:
```
FeTcNiPb
1.0
0.0000 3.1344 3.1344
3.1344 0.0000 3.1344
3.1344 3.1344 0.0000
Pb Tc Ni Fe
1 1 1 1
Cartesian
0.0000 0.0000 0.0000
1.5672 1.5672 1.5672
4.7016 4.7016 4.7016
3.1344 3.1344 3.1344
```



[9]
DFT (PBE) results for FeNiPbW after structural relaxation.

Output
Energy above the most stable polymorph in this dataset (meV/atom): 0
Space group: No. 216
Total magnetic moment (μB/f.u.): 0.72

The structure in POSCAR format:
```
FeNiPbW
1.0
0.0000 3.1117 3.1117
3.1117 0.0000 3.1117
3.1117 3.1117 0.0000
Fe Pb Ni W
1 1 1 1
Cartesian
4.6676 4.6676 4.6676
0.0000 0.0000 0.0000
1.5559 1.5559 1.5559
3.1117 3.1117 3.1117
```



[10]
DFT (PBE) results for FeNiPbW after structural relaxation.

Output
Energy above the most stable polymorph in this dataset (meV/atom): 215
Space group: No. 216
Total magnetic moment (μB/f.u.): 1.54

The structure in POSCAR format:
```
FeNiPbW
1.0
0.0000 3.1522 3.1522
3.1522 0.0000 3.1522
3.1522 3.1522 0.0000
W Ni Pb Fe
1 1 1 1
Cartesian
1.5761 1.5761 1.5761
3.1522 3.1522 3.1522
0.0000 0.0000 0.0000
4.7283 4.7283 4.7283
```



[11]
DFT (PBE) results for YFeNiPb after structural relaxation.

Output
Energy above the most stable polymorph in this dataset (meV/atom): 0
Space group: No. 216
Total magnetic moment (μB/f.u.): 2.08

The structure in POSCAR format:
```
YFeNiPb
1.0
-0.0569 -4.0762 2.2752
0.0912 -0.0697 4.6671
-3.7984 -1.2864 2.3900
Y Ni Pb Fe
1 1 1 1
Cartesian
-1.8820 -2.7161 4.6662
-0.9410 -1.3580 2.3331
0.0000 0.0000 0.0000
-2.8231 -4.0742 6.9993
```



[12]
DFT (PBE) results for YFeNiPb after structural relaxation.

Output
Energy above the most stable polymorph in this dataset (meV/atom): 156
Space group: No. 216
Total magnetic moment (μB/f.u.): 2.90

The structure in POSCAR format:
```
YFeNiPb
1.0
1.3855 -2.5447 3.8122
-2.2534 0.5447 4.1897
-2.7974 -3.5010 1.6869
Y Pb Fe Ni
1 1 1 1
Cartesian
-0.9163 -1.3753 2.4222
0.0000 0.0000 0.0000
-2.7489 -4.1258 7.2666
-1.8326 -2.7505 4.8444
```



[13]
DFT (PBE) results for ZrFeNiPb after structural relaxation.

Output
Energy above the most stable polymorph in this dataset (meV/atom): 249
Space group: No. 216
Total magnetic moment (μB/f.u.): 2.48

The structure in POSCAR format:
```
ZrFeNiPb
1.0
0.0000 3.2723 3.2723
3.2723 0.0000 3.2723
3.2723 3.2723 0.0000
Fe Pb Ni Zr
1 1 1 1
Cartesian
4.9085 4.9085 4.9085
0.0000 0.0000 0.0000
3.2723 3.2723 3.2723
1.6362 1.6362 1.6362
```



[14]
DFT (PBE) results for ZrFeNiPb after structural relaxation.

Output
Energy above the most stable polymorph in this dataset (meV/atom): 0
Space group: No. 216
Total magnetic moment (μB/f.u.): 1.76

The structure in POSCAR format:
```
ZrFeNiPb
1.0
0.0000 3.2091 3.2091
3.2091 0.0000 3.2091
3.2091 3.2091 0.0000
Pb Zr Fe Ni
1 1 1 1
Cartesian
0.0000 0.0000 0.0000
3.2091 3.2091 3.2091
4.8137 4.8137 4.8137
1.6046 1.6046 1.6046
```



[15]
DFT (PBE) results for FeSiNiPd after structural relaxation.

Output
Energy above the most stable polymorph in this dataset (meV/atom): 37
Space group: No. 216
Total magnetic moment (μB/f.u.): 3.14

The structure in POSCAR format:
```
FeSiNiPd
1.0
-0.9522 -3.2495 2.4051
-0.6437 0.5444 4.0669
-3.8291 -0.3741 1.5648
Ni Pd Fe Si
1 1 1 1
Cartesian
-4.0687 -2.3094 6.0276
-1.3562 -0.7698 2.0092
-2.7125 -1.5396 4.0184
0.0000 0.0000 0.0000
```



[16]
DFT (PBE) results for FeSiNiPd after structural relaxation.

Output
Energy above the most stable polymorph in this dataset (meV/atom): 0
Space group: No. 216
Total magnetic moment (μB/f.u.): 2.66

The structure in POSCAR format:
```
FeSiNiPd
1.0
0.0000 2.9115 2.9115
2.9115 0.0000 2.9115
2.9115 2.9115 0.0000
Si Pd Ni Fe
1 1 1 1
Cartesian
0.0000 0.0000 0.0000
1.4557 1.4557 1.4557
2.9115 2.9115 2.9115
4.3672 4.3672 4.3672
```



[17]
DFT (PBE) results for PmFeNi after structural relaxation.

Output
Calculated formation energy (eV per atom): 0.4006
Energy above the most stable polymorph in this dataset (meV/atom): 0
Space group: No. 216
Total magnetic moment (μB/f.u.): 2.59

The structure in POSCAR format:
```
PmFeNi
1.0
-2.7830 -1.5415 2.9682
-4.2549 0.8320 -0.3682
-2.7581 -3.1952 -1.0563
Ni Pm Fe
1 1 1
Cartesian
-2.4490 -0.9762 0.3859
-7.3470 -2.9285 1.1578
0.0000 0.0000 0.0000
```



[18]
DFT (PBE) results for PmFeNi after structural relaxation.

Output
Calculated formation energy (eV per atom): 0.9272
Energy above the most stable polymorph in this dataset (meV/atom): 527
Space group: No. 216
Total magnetic moment (μB/f.u.): 2.80

The structure in POSCAR format:
```
PmFeNi
1.0
4.2743 -0.6187 1.1120
2.1634 3.1075 2.3563
1.1071 -0.7910 4.2471
Ni Pm Fe
1 1 1
Cartesian
5.6586 1.2734 5.7865
0.0000 0.0000 0.0000
1.8862 0.4245 1.9288
```



[19]
DFT (PBE) results for PrFeSi2Ni after structural relaxation.

Output
Total energy (eV for the cell shown): -32.9
Space group: No. 119
Total magnetic moment (μB/f.u.): 0.59

The structure in POSCAR format:
```
PrFeSi2Ni
1.0
-2.0008 2.0008 4.9601
2.0008 -2.0008 4.9601
2.0008 2.0008 -4.9601
Fe Ni Pr Si
1 1 1 2
Cartesian
0.0000 0.0000 0.0000
0.0000 0.0000 4.9601
0.0000 2.0008 2.4800
2.0008 0.0000 1.1524
2.0008 0.0000 3.8076
```



[20]
DFT (PBE) results for RbFe4Ni after structural relaxation.

Output
Total energy (eV for the cell shown): -29.3
Space group: No. 65
Total magnetic moment (μB/f.u.): 12.46

The structure in POSCAR format:
```
RbFe4Ni
1.0
0.0968 5.0823 1.5066
-3.8930 0.9464 -3.4725
-2.9994 -0.8694 3.1257
Fe Ni Rb
4 1 1
Cartesian
-2.7671 2.1135 -2.0675
-4.7649 4.7508 -0.1281
-1.0290 3.9152 0.1015
-2.0307 0.4085 1.2879
0.0000 0.0000 0.0000
-3.3978 2.5796 0.5799
```



[21]
DFT (PBE) results for RbFeNi after structural relaxation.

Output
Energy above the most stable polymorph in this dataset (meV/atom): 0
Space group: No. 216
Total magnetic moment (μB/f.u.): 3.98

The structure in POSCAR format:
```
RbFeNi
1.0
0.0000 3.3364 3.3364
3.3364 0.0000 3.3364
3.3364 3.3364 0.0000
Ni Rb Fe
1 1 1
Cartesian
0.0000 0.0000 0.0000
5.0046 5.0046 5.0046
1.6682 1.6682 1.6682
```



[22]
DFT (PBE) results for RbFeNi after structural relaxation.

Output
Energy above the most stable polymorph in this dataset (meV/atom): 635
Space group: No. 216
Total magnetic moment (μB/f.u.): 3.89

The structure in POSCAR format:
```
RbFeNi
1.0
0.0000 3.5352 3.5352
3.5352 0.0000 3.5352
3.5352 3.5352 0.0000
Rb Ni Fe
1 1 1
Cartesian
0.0000 0.0000 0.0000
5.3028 5.3028 5.3028
1.7676 1.7676 1.7676
```



[23]
DFT (PBE) results for RbFeNiS3 after structural relaxation.

Output
Total energy (eV for the cell shown): -60.6
Space group: No. 63
Total magnetic moment (μB/f.u.): 2.14

The structure in POSCAR format:
```
RbFeNiS3
1.0
6.4305 3.8735 1.4297
-6.5487 -1.2931 -3.7205
-4.5079 5.2255 6.1183
S Fe Rb Ni
6 2 2 2
Cartesian
-7.2747 1.6314 -0.3890
0.7754 8.3459 6.7589
-1.9450 2.2944 0.0830
-5.4015 -0.5401 -2.9315
2.6487 6.1744 4.2164
-2.6810 5.5115 3.7445
-2.3130 3.9029 1.9137
-0.0591 1.2902 -1.1454
2.0500 3.8847 1.6682
-6.6760 3.9212 2.1593
2.6450 7.6316 5.8579
-7.2710 0.1743 -2.0304
```



[24]
DFT (PBE) results for RbFeNiTe3 after structural relaxation.

Output
Energy above the most stable polymorph in this dataset (meV/atom): 0
Space group: No. 11
Total magnetic moment (μB/f.u.): 2.48

The structure in POSCAR format:
```
RbFeNiTe3
1.0
9.3923 0.0000 0.0000
0.0000 3.9159 0.0000
-4.6341 0.0000 9.2659
Fe Ni Rb Te
2 2 2 6
Cartesian
6.8272 2.9370 3.8292
-2.0690 0.9790 5.4366
5.6169 0.9790 1.4516
-0.8588 2.9370 7.8143
0.9277 0.9790 2.3900
3.8305 2.9370 6.8758
-2.6387 0.9790 7.9776
0.8723 0.9790 8.1030
5.0908 0.9790 4.0447
7.3968 2.9370 1.2882
-0.3327 2.9370 5.2211
3.8859 2.9370 1.1629
```



[25]
DFT (PBE) results for RbFeNiTe3 after structural relaxation.

Output
Energy above the most stable polymorph in this dataset (meV/atom): 27
Space group: No. 63
Total magnetic moment (μB/f.u.): 2.12

The structure in POSCAR format:
```
RbFeNiTe3
1.0
-5.5760 4.0693 -4.8830
2.3722 -3.9978 7.0629
2.9761 8.9733 4.0796
Te Rb Ni Fe
6 2 2 2
Cartesian
1.6447 -2.7815 5.9538
-3.1232 8.0548 -1.4090
0.1146 7.2891 3.3747
-1.8723 11.8264 0.3058
2.8956 0.9900 7.6685
-0.3422 1.7558 2.8848
-2.7774 4.2274 -0.7752
2.5498 4.8175 7.0347
-3.0982 10.5500 -1.4540
2.8706 -1.5052 7.7136
-1.6019 0.0357 1.0900
-0.1138 4.5224 3.1298
```



[26]
DFT (PBE) results for FeRe2Ni after structural relaxation.

Output
Calculated formation energy (eV per atom): -0.0390
Energy above the most stable polymorph in this dataset (meV/atom): 0
Space group: No. 25
Total magnetic moment (μB/f.u.): 0.01

The structure in POSCAR format:
```
FeRe2Ni
1.0
2.6449 0.0000 0.0000
0.0000 4.1936 0.0000
0.0000 0.0000 4.5218
Fe Re Ni
1 2 1
Cartesian
0.0000 2.0968 3.8017
1.3225 0.0000 3.0428
1.3225 2.0968 1.4637
0.0000 0.0000 0.7354
```



[27]
DFT (PBE) results for FeRe6Ni after structural relaxation.

Output
Calculated formation energy (eV per atom): -0.0433
Space group: No. 187
Total magnetic moment (μB/f.u.): 0.00

The structure in POSCAR format:
```
FeRe6Ni
1.0
-2.8538 -3.5294 -2.9300
-1.0589 0.6235 5.2608
-2.8831 3.1199 -0.9500
Re Fe Ni
6 1 1
Cartesian
-4.8202 -1.6533 -0.7742
-3.0842 -2.5256 1.0656
-2.8718 -0.2063 -1.9349
-3.3991 0.1042 0.6848
-1.1276 -1.0725 -0.0999
-2.5547 -2.8373 -1.5650
-1.6572 -0.7608 2.5305
-1.4416 1.5600 -0.4750
```



[28]
DFT (PBE) results for FeReSiNi after structural relaxation.

Output
Energy above the most stable polymorph in this dataset (meV/atom): 0
Space group: No. 216
Total magnetic moment (μB/f.u.): 1.22

The structure in POSCAR format:
```
FeReSiNi
1.0
0.0000 2.8736 2.8736
2.8736 0.0000 2.8736
2.8736 2.8736 0.0000
Ni Re Fe Si
1 1 1 1
Cartesian
2.8736 2.8736 2.8736
1.4368 1.4368 1.4368
4.3104 4.3104 4.3104
0.0000 0.0000 0.0000
```